Here is a relaxed Pr2Fe14B crystal from OQMD. Energies are from PBE.

Output
Distance to the lowest polymorph of the same formula   0.000 eV/atom
Magnetization   31.181 μB per formula unit

a = 8.773 Å, b = 8.773 Å, c = 12.186 Å
α = 90.00°, β = 90.00°, γ = 90.00°
Space group P4_2/mnm (No. 136)
Inequivalent atoms, fractional coordinates:
Pr 0.142 0.142 0.000 (multiplicity 4)
Pr 0.232 0.232 0.500 (multiplicity 4)
Fe 0.000 0.000 0.385 (multiplicity 4)
Fe 0.000 0.500 0.000 (multiplicity 4)
Fe 0.037 0.640 0.177 (multiplicity 16)
Fe 0.067 0.725 0.372 (multiplicity 16)
Fe 0.098 0.902 0.206 (multiplicity 8)
Fe 0.182 0.182 0.254 (multiplicity 8)
B 0.123 0.877 0.500 (multiplicity 4)

---

Here is a relaxed NiSnOs crystal from OQMD. Energies are from PBE.

Output
Energy   -0.238 Ha/atom
Magnetization   0.016 μB per formula unit

a = 5.864 Å, b = 5.864 Å, c = 5.864 Å
α = 90.00°, β = 90.00°, γ = 90.00°
Space group F-43m (No. 216)
Inequivalent atoms, fractional coordinates:
Ni 0.000 0.000 0.000 (multiplicity 4)
Sn 0.250 0.250 0.250 (multiplicity 4)
Os 0.250 0.250 0.750 (multiplicity 4)

---

Here is a relaxed RbPuCu crystal from OQMD. Energies are from PBE.

Output
Energy   -0.201 Ha/atom
Magnetization   6.059 μB per formula unit

a = 7.485 Å, b = 7.485 Å, c = 7.485 Å
α = 90.00°, β = 90.00°, γ = 90.00°
Space group F-43m (No. 216)
Inequivalent atoms, fractional coordinates:
Rb 0.000 0.000 0.000 (multiplicity 4)
Pu 0.000 0.000 0.500 (multiplicity 4)
Cu 0.250 0.250 0.750 (multiplicity 4)

---

Here is a relaxed HfNbB crystal from OQMD. Energies are from PBE.

Output
Distance to the lowest polymorph of the same formula   0.000 eV/atom
Magnetization   0.002 μB per formula unit

a = 6.014 Å, b = 6.014 Å, c = 6.014 Å
α = 90.00°, β = 90.00°, γ = 90.00°
Space group F-43m (No. 216)
Inequivalent atoms, fractional coordinates:
Hf 0.000 0.000 0.000 (multiplicity 4)
Nb 0.250 0.250 0.750 (multiplicity 4)
B 0.000 0.000 0.500 (multiplicity 4)

---

Here is a relaxed MgTcAgOs crystal from OQMD. Energies are from PBE.

Output
Distance to the lowest polymorph of the same formula   0.000 eV/atom
Magnetization   0.008 μB per formula unit

a = 6.289 Å, b = 6.289 Å, c = 6.289 Å
α = 90.00°, β = 90.00°, γ = 90.00°
Space group F-43m (No. 216)
Inequivalent atoms, fractional coordinates:
Mg 0.000 0.000 0.000 (multiplicity 4)
Tc 0.000 0.000 0.500 (multiplicity 4)
Ag 0.250 0.250 0.250 (multiplicity 4)
Os 0.250 0.250 0.750 (multiplicity 4)

---

Here is a relaxed TbSnO3 crystal from OQMD. Energies are from PBE.

Output
Energy   -0.253 Ha/atom
Magnetization   0.153 μB per formula unit

a = 5.9228 Å, b = 5.9228 Å, c = 14.7483 Å
α = 90.00°, β = 90.00°, γ = 120.00°
Space group R-3c (No. 167, hexagonal axes)
Inequivalent atoms, fractional coordinates:
Tb 0.0000 0.0000 0.0000 (multiplicity 6)
Sn 0.0000 0.0000 0.2500 (multiplicity 6)
O 0.0000 0.3528 0.2500 (multiplicity 18)